The following is a DFT calculation (PBE) of a relaxed NaGe2Ir2 crystal.

Results
* DFT formation energy: -0.81 eV/f.u.
* energy above the most stable polymorph in this dataset: 0.1862 eV per atom

Unit cell a=4.2218 b=4.2218 c=10.4055 alpha=90.00 beta=90.00 gamma=90.00
With the nearest neighbours (Å) after each atom.
Space group I4/mmm (No. 139)
One atom of each set of equivalent atoms:
Na: 0.0000 0.0000 0.0000 (multiplicity 2)  8 Ir 3.24, 8 Ge 3.35
Ge: 0.0000 0.5000 0.2500 (multiplicity 4)  4 Ir 2.50
Ir: 0.0000 0.0000 0.3789 (multiplicity 4)  4 Ge 2.50, 1 Ir 2.52

The following is a DFT calculation (PBE) of a relaxed NaGe2Ir2 crystal.

Results
* DFT formation energy: -1.74 eV/f.u.
* energy above the most stable polymorph in this dataset: 0.0000 eV per atom

Unit cell a=4.1725 b=4.1725 c=10.4601 alpha=90.00 beta=90.00 gamma=90.00
With the nearest neighbours (Å) after each atom.
Space group I4/mmm (No. 139)
One atom of each set of equivalent atoms:
Na: 0.0000 0.0000 0.0000 (multiplicity 2)  8 Ge 3.23, 8 Ir 3.35
Ge: 0.0000 0.0000 0.3752 (multiplicity 4)  4 Ir 2.46, 1 Ge 2.61
Ir: 0.0000 0.5000 0.2500 (multiplicity 4)  4 Ge 2.46

The following is a DFT calculation (PBE) of a relaxed NaGeIr2 crystal.

Results
* DFT formation energy: 1.46 eV/f.u.

Unit cell a=7.3811 b=7.3811 c=5.2721 alpha=90.00 beta=90.00 gamma=90.00
With the nearest neighbours (Å) after each atom.
Space group I-42d (No. 122)
One atom of each set of equivalent atoms:
Na: 0.0000 0.0000 0.0000 (multiplicity 4)  2 Ge 2.64
Ge: 0.0000 0.0000 0.5000 (multiplicity 4)  4 Ir 2.40, 2 Na 2.64
Ir: 0.1866 0.2500 0.6250 (multiplicity 8)  2 Ge 2.40

The following is a DFT calculation (PBE) of a relaxed Na2NiGe4Ir3 crystal.

Results
* DFT formation energy: -2.76 eV/f.u.

Unit cell a=4.1025 b=4.1025 c=10.4915 alpha=90.00 beta=90.00 gamma=90.00
With the nearest neighbours (Å) after each atom.
Space group P-4m2 (No. 115)
One atom of each set of equivalent atoms:
Na: 0.0000 0.5000 0.2427 (multiplicity 2)  8 Ge 3.14-3.39, 6 Ir 3.17-3.27, 2 Ni 3.27
Ni: 0.5000 0.5000 0.0000 (multiplicity 1)  4 Ge 2.45
Ge: 0.0000 0.0000 0.5000 (multiplicity 1)  4 Ir 2.49
Ge: 0.0000 0.5000 0.8720 (multiplicity 2)  2 Ni 2.45, 3 Ir 2.45-2.48
Ge: 0.5000 0.5000 0.5000 (multiplicity 1)  4 Ir 2.49
Ir: 0.0000 0.0000 0.0000 (multiplicity 1)  4 Ge 2.45
Ir: 0.0000 0.5000 0.6352 (multiplicity 2)  5 Ge 2.48-2.49

The following is a DFT calculation (PBE) of a relaxed NaGe2IrO crystal.

Results
* formation energy without anion corrections: -0.63 eV/f.u.

Unit cell a=4.3107 b=4.3107 c=4.0317 alpha=90.00 beta=90.00 gamma=90.00
With the nearest neighbours (Å) after each atom.
Space group P4/mmm (No. 123)
One atom of each set of equivalent atoms:
Na: 0.0000 0.0000 0.0000 (multiplicity 1)  2 O 2.02
Ge: 0.0000 0.5000 0.5000 (multiplicity 2)  2 O 2.16
Ir: 0.5000 0.5000 0.0000 (multiplicity 1)  8 Ge 2.95, 4 Na 3.05
O: 0.0000 0.0000 0.5000 (multiplicity 1)  2 Na 2.02, 4 Ge 2.16

The following is a DFT calculation (PBE) of a relaxed NaGeIrO6 crystal.

Results
* formation energy without anion corrections: -9.54 eV/f.u.

Unit cell a=5.1102 b=5.1102 c=10.4249 alpha=90.00 beta=90.00 gamma=120.00
With the nearest neighbours (Å) after each atom.
Space group P-31c (No. 163)
One atom of each set of equivalent atoms:
Na: 0.0000 0.0000 0.0000 (multiplicity 2)  6 O 2.46
Ge: 0.3333 0.6667 0.2500 (multiplicity 2)  6 O 1.92
Ir: 0.3333 0.6667 0.7500 (multiplicity 2)  6 O 1.92
O: 0.0000 0.3744 0.1490 (multiplicity 12)  1 Ge 1.92, 1 Ir 1.92

The following is a DFT calculation (PBE) of a relaxed NaGeIrO5 crystal.

Results
* formation energy without anion corrections: -10.06 eV/f.u.

Unit cell a=6.7695 b=9.0202 c=7.2319 alpha=90.00 beta=115.30 gamma=90.00
With the nearest neighbours (Å) after each atom.
Space group C2/c (No. 15)
One atom of each set of equivalent atoms:
Na: 0.0000 0.1669 0.2500 (multiplicity 4)  7 O 2.40-2.66
Ge: 0.0000 0.1911 0.7500 (multiplicity 4)  4 O 1.77-1.78
Ir: 0.0000 0.5000 0.0000 (multiplicity 4)  6 O 1.91-2.02
O: 0.0000 0.4328 0.2500 (multiplicity 4)  2 Ir 1.91
O: 0.1124 0.2964 0.6110 (multiplicity 8)  1 Ge 1.77
O: 0.1920 0.0637 0.9229 (multiplicity 8)  1 Ge 1.78, 1 Ir 2.00

The following is a DFT calculation (PBE) of a relaxed NaGe2IrO8 crystal.

Results
* formation energy without anion corrections: -12.61 eV/f.u.

Unit cell a=4.5980 b=6.0117 c=4.7319 alpha=90.00 beta=91.05 gamma=90.00
With the nearest neighbours (Å) after each atom.
Space group P2/m (No. 10)
One atom of each set of equivalent atoms:
Na: 0.0000 0.0000 0.0000 (multiplicity 1)  6 O 2.14-2.18
Ge: 0.5000 0.2368 0.5000 (multiplicity 2)  6 O 1.86-2.05
Ir: 0.0000 0.5000 0.0000 (multiplicity 1)  6 O 1.89-2.03
O: 0.2253 0.2824 0.1931 (multiplicity 4)  1 Ir 1.89, 1 Ge 1.93
O: 0.2913 0.5000 0.6817 (multiplicity 2)  1 Ir 2.03, 2 Ge 2.05
O: 0.3026 0.0000 0.6625 (multiplicity 2)  2 Ge 1.86

no.,final energy (eV per cell)
1,-58.162
2,-60.024
3,-88.782
4,-56.228
5,-24.998
6,-108.170
7,-198.578
8,-71.689